Below is MnVMo after structural relaxation, with properties calculated at the PBE level.

Unit cell a=2.9991 b=2.9991 c=8.9766 alpha=90.00 beta=90.00 gamma=90.00
With the nearest neighbours (Å) after each atom.
Element x y z (fractional)
Mo  0.0000  0.5000  0.5900  4 V 2.66, 4 Mo 2.67, 1 Mn 2.95
Mn  0.5000  0.0000  0.0810  5 V 2.51-2.81, 4 Mn 2.57
Mo  0.5000  0.0000  0.4100  4 V 2.66, 4 Mo 2.67, 1 Mn 2.95
Mn  0.0000  0.5000  0.9190  5 V 2.51-2.81, 4 Mn 2.57
V  0.5000  0.0000  0.7684  5 Mn 2.51-2.81, 4 Mo 2.66
V  0.0000  0.5000  0.2316  5 Mn 2.51-2.81, 4 Mo 2.66

Calculated values
E_tot in eV per formula unit: -29.235
Formation energy from the elements in meV/atom: -39